1.
# Zn4H6Os, optimized geometry, DFT PBE-GGA
# - theoretical density (g/cm3) = 4.786
# - total magnetization (μB/cell) = 0.0
# - electronic total energy (eV/f.u.) = -35.714
# - N(E_F) (states/eV per atom) = 0.000
data_Zn4H6Os
_chemical_formula_sum 'Zn16 H24 Os4'
_cell_length_a 15.019
_cell_length_b 5.085
_cell_length_c 9.992
_cell_angle_alpha 90.00
_cell_angle_beta 123.62
_cell_angle_gamma 90.00
_symmetry_space_group_name_H-M 'C 1 c 1'
_symmetry_Int_Tables_number 9
loop_
_symmetry_equiv_pos_as_xyz
'x,y,z'
'x,-y,z+1/2'
'x+1/2,y+1/2,z'
'x+1/2,-y+1/2,z+1/2'
loop_
_atom_site_label
_atom_site_fract_x
_atom_site_fract_y
_atom_site_fract_z
Zn1 0.000 0.015 0.000
Zn2 0.091 0.218 0.296
Zn3 0.329 0.198 0.484
Zn4 0.493 0.123 0.305
H1 0.058 0.034 0.872
H2 0.089 0.279 0.684
H3 0.100 0.483 0.041
H4 0.220 0.282 0.467
H5 0.409 0.218 0.072
H6 0.411 0.152 0.866
Os1 0.492 0.022 0.050

=====

2.
# ZnH2Os, optimized geometry, DFT PBE-GGA
# - theoretical density (g/cm3) = 11.677
# - total magnetization (μB/cell) = 0.0
# - electronic total energy (eV/f.u.) = -17.340
# - N(E_F) (states/eV per atom) = 0.412
data_ZnH2Os
_chemical_formula_sum 'Zn4 H8 Os4'
_cell_length_a 4.102
_cell_length_b 4.102
_cell_length_c 8.708
_cell_angle_alpha 90.00
_cell_angle_beta 90.00
_cell_angle_gamma 90.00
_symmetry_space_group_name_H-M 'I -4 2 d'
_symmetry_Int_Tables_number 122
_symmetry_space_group_name_Hall 'I -4 2bw'
loop_
_atom_site_label
_atom_site_fract_x
_atom_site_fract_y
_atom_site_fract_z
Zn1 0.000 0.000 0.000
H1 0.222 0.250 0.625
Os1 0.000 0.000 0.500

=====

3.
# ZnHOs2, optimized geometry, DFT PBE-GGA
# - theoretical density (g/cm3) = 15.377
# - total magnetization (μB/cell) = 0.0
# - electronic total energy (eV/f.u.) = -22.615
# - N(E_F) (states/eV per atom) = 0.992
data_ZnHOs2
_chemical_formula_sum 'Zn4 H4 Os8'
_cell_length_a 5.779
_cell_length_b 5.779
_cell_length_c 5.779
_cell_angle_alpha 90.00
_cell_angle_beta 90.00
_cell_angle_gamma 90.00
_symmetry_space_group_name_H-M 'F m -3 m'
_symmetry_Int_Tables_number 225
_symmetry_space_group_name_Hall '-F 4 2 3'
loop_
_atom_site_label
_atom_site_fract_x
_atom_site_fract_y
_atom_site_fract_z
Zn1 0.000 0.000 0.000
H1 0.000 0.000 0.500
Os1 0.250 0.250 0.250

=====

4.
# Zn2H8Os, optimized geometry, DFT PBE-GGA
# - theoretical density (g/cm3) = 5.427
# - total magnetization (μB/cell) = 0.0
# - electronic total energy (eV/f.u.) = -37.891
# - N(E_F) (states/eV per atom) = 0.046
data_Zn2H8Os
_chemical_formula_sum 'Zn4 H16 Os2'
_cell_length_a 8.167
_cell_length_b 7.513
_cell_length_c 3.628
_cell_angle_alpha 90.00
_cell_angle_beta 115.22
_cell_angle_gamma 90.00
_symmetry_space_group_name_H-M 'C 1 2/m 1'
_symmetry_Int_Tables_number 12
loop_
_symmetry_equiv_pos_as_xyz
'x,y,z'
'-x,-y,-z'
'-x,y,-z'
'x,-y,z'
'x+1/2,y+1/2,z'
'-x+1/2,-y+1/2,-z'
'-x+1/2,y+1/2,-z'
'x+1/2,-y+1/2,z'
loop_
_atom_site_label
_atom_site_fract_x
_atom_site_fract_y
_atom_site_fract_z
Zn1 0.167 0.000 0.168
H1 0.000 0.421 0.000
H2 0.005 0.000 0.666
H3 0.150 0.325 0.644
Os1 0.000 0.500 0.500

=====

5.
# Zn2HOs, optimized geometry, DFT PBE-GGA
# - theoretical density (g/cm3) = 10.195
# - total magnetization (μB/cell) = 0.0
# - electronic total energy (eV/f.u.) = -13.194
# - N(E_F) (states/eV per atom) = 0.922
data_Zn2HOs
_chemical_formula_sum 'Zn8 H4 Os4'
_cell_length_a 5.942
_cell_length_b 5.942
_cell_length_c 5.942
_cell_angle_alpha 90.00
_cell_angle_beta 90.00
_cell_angle_gamma 90.00
_symmetry_space_group_name_H-M 'F m -3 m'
_symmetry_Int_Tables_number 225
_symmetry_space_group_name_Hall '-F 4 2 3'
loop_
_atom_site_label
_atom_site_fract_x
_atom_site_fract_y
_atom_site_fract_z
Zn1 0.250 0.250 0.250
H1 0.000 0.000 0.000
Os1 0.000 0.000 0.500

=====

6.
# Zr2ZnHOs, optimized geometry, DFT PBE-GGA
# - theoretical density (g/cm3) = 9.591
# - total magnetization (μB/cell) = 0.0
# - electronic total energy (eV/f.u.) = -34.364
# - N(E_F) (states/eV per atom) = 0.426
data_Zr2ZnHOs
_chemical_formula_sum 'Zr2 Zn1 H1 Os1'
_cell_length_a 4.596
_cell_length_b 4.596
_cell_length_c 3.599
_cell_angle_alpha 90.00
_cell_angle_beta 90.00
_cell_angle_gamma 90.00
_symmetry_space_group_name_H-M 'P 4/m m m'
_symmetry_Int_Tables_number 123
_symmetry_space_group_name_Hall '-P 4 2'
loop_
_atom_site_label
_atom_site_fract_x
_atom_site_fract_y
_atom_site_fract_z
Zr1 0.000 0.500 0.000
Zn1 0.000 0.000 0.500
H1 0.500 0.500 0.000
Os1 0.500 0.500 0.500